The following is a DFT calculation (GGA-PBE) of a relaxed Ni2Pb crystal.

Calculated values
The value obtained for the electronic total energy is -4.86 eV/atom. The value obtained for the density of states at the Fermi level is 2.285 states/eV/f.u. Its crystal system is orthorhombic.

a = 4.4471 Å, b = 7.5819 Å, c = 5.4123 Å
α = 90.00°, β = 90.00°, γ = 90.00°
With the nearest neighbours (Å) after each atom.
Space group Cmcm (No. 63)
Unique sites:
Ni (0.0000, 0.0000, 0.0000) (multiplicity 4)  8 Ni 2.71-2.91, 6 Pb 2.88-2.89
Ni (0.0000, 0.3288, 0.2500) (multiplicity 4)  5 Pb 2.55-2.71, 2 Ni 2.84
Pb (0.0000, 0.3349, 0.7500) (multiplicity 4)  5 Ni 2.55-2.71